Computed, not measured: an optimized crystal structure of Li2La3Mg3 at the PBE level of DFT.

a = 5.4389 Å, b = 5.4389 Å, c = 26.5645 Å
α = 90.00°, β = 90.00°, γ = 120.00°
Space group R3m (No. 160, hexagonal axes)
Unique sites:
1 Li 0.0000 0.0000 0.0000 [3 per cell]
2 Li 0.0000 0.0000 0.4894 [3 per cell]
3 La 0.0000 0.0000 0.3665 [3 per cell]
4 La 0.0000 0.0000 0.6168 [3 per cell]
5 La 0.0000 0.0000 0.8684 [3 per cell]
6 Mg 0.0000 0.0000 0.1175 [3 per cell]
7 Mg 0.0000 0.0000 0.2359 [3 per cell]
8 Mg 0.0000 0.0000 0.7450 [3 per cell]

Values from the calculation:
- DFT total energy (eV per formula unit) = -23.340
- DFT formation energy (eV/f.u.) = 0.05

***

Computed, not measured: an optimized crystal structure of Li4LaMg5 at the PBE level of DFT.

a = 3.489 Å, b = 3.489 Å, c = 18.380 Å
α = 90.00°, β = 90.00°, γ = 90.00°
Space group P4/mmm (No. 123)
Unique sites:
1 Li 0.000 0.000 0.091 [2 per cell]
2 Li 0.000 0.000 0.273 [2 per cell]
3 La 0.000 0.000 0.500 [1 per cell]
4 Mg 0.500 0.500 0.000 [1 per cell]
5 Mg 0.500 0.500 0.182 [2 per cell]
6 Mg 0.500 0.500 0.364 [2 per cell]

Values from the calculation:
- DFT total energy (eV per formula unit) = -21.131
- DFT formation energy (eV/f.u.) = -0.58